# PBE-GGA MoSe2S2Br, relaxed
# ΔE to the lowest computed polymorph: 0.000 eV per atom
# crystal system: triclinic
# electronic total energy: -5.048 eV/atom
# magnetization: 0.00 μB per cell
data_MoSe2S2Br
_chemical_formula_sum 'Mo2 Se4 S4 Br2'
_space_group_name_H-M_alt 'P -1'
_space_group_IT_number 2
_cell_length_a 6.277
_cell_length_b 7.978
_cell_length_c 8.048
_cell_angle_alpha 117.70
_cell_angle_beta 104.87
_cell_angle_gamma 97.71
loop_
_space_group_symop_operation_xyz
'x,y,z'
'-x,-y,-z'
loop_
_atom_site_label
_atom_site_type_symbol
_atom_site_fract_x
_atom_site_fract_y
_atom_site_fract_z
Mo1 Mo 0.221 0.000 0.000
Se1 Se 0.127 0.312 0.225
Se2 Se 0.392 0.924 0.709
S1 S 0.019 0.847 0.136
S2 S 0.468 0.781 0.017
Br1 Br 0.261 0.373 0.595